1.
A geometry-optimized PmY4Ho3 structure, computed with PBE. Values from VASP.

Values from the calculation:
Magnetization in μB/f.u.: 0.000
N(E_F) in states/eV per atom: 1.51
V in Å³ per cell: 255.76
Energy relative to the elements in eV per atom: 0.0237
Space group: Pmmm
Total DFT energy (no corrections) in eV per atom: -5.52
Distance to the lowest polymorph of the same formula in eV per formula unit: 0.149

Cell and atoms, written as Quantum ESPRESSO input:
```
&SYSTEM
  ibrav = 0, nat = 8, ntyp = 3
/
ATOMIC_SPECIES
Y 88.91 Y.upf
Pm 145.00 Pm.upf
Ho 164.93 Ho.upf
CELL_PARAMETERS angstrom
-3.4916 0.3254 -0.6568
-2.7876 -6.6761 -7.8606
-4.8739 -4.7489 4.1407
ATOMIC_POSITIONS crystal
Y 0.4970 0.7517 0.2513
Pm 0.5000 0.5001 0.0000
Ho 0.9999 0.0001 0.0000
Ho 0.4999 0.0001 0.5000
Y 0.0001 0.7517 0.7486
Y 0.5030 0.2485 0.7486
Y 0.9999 0.2485 0.2514
Ho 0.0000 0.5001 0.4999
```


2.
A geometry-optimized Pr3Dy4Ru4 structure, computed with PBE. Values from VASP.

Values from the calculation:
Magnetization in μB/f.u.: 0.000
N(E_F) in states/eV per atom: 0.56
V in Å³ per cell: 271.57
Energy relative to the elements in eV per atom: -0.2165
Space group: Immm
Total DFT energy (no corrections) in eV per atom: -6.57

Cell and atoms, written as Quantum ESPRESSO input:
```
&SYSTEM
  ibrav = 0, nat = 11, ntyp = 3
/
ATOMIC_SPECIES
Pr 140.91 Pr.upf
Dy 162.50 Dy.upf
Ru 101.07 Ru.upf
CELL_PARAMETERS angstrom
-3.7094 0.0789 -0.7276
0.0820 -8.8898 -1.3819
0.2701 3.1884 8.7923
ATOMIC_POSITIONS crystal
Pr 0.1023 0.1023 0.2046
Dy 0.3331 0.5211 0.6661
Ru 0.5000 0.2274 0.0000
Pr 0.0000 0.5000 0.0000
Ru 0.5000 0.7726 0.0000
Ru 0.7520 0.2520 0.5039
Dy 0.6669 0.4789 0.3339
Dy 0.3331 0.1450 0.6661
Dy 0.6669 0.8550 0.3339
Ru 0.2480 0.7480 0.4961
Pr 0.8977 0.8977 0.7954
```


3.
A geometry-optimized Pm4Hg2Pb structure, computed with PBE. Values from VASP.

Values from the calculation:
Magnetization in μB/f.u.: 0.000
N(E_F) in states/eV per atom: 1.48
V in Å³ per cell: 232.51
Energy relative to the elements in eV per atom: -0.0643
Space group: I4/mmm
Total DFT energy (no corrections) in eV per atom: -3.39
Distance to the lowest polymorph of the same formula in eV per formula unit: 1.747

Cell and atoms, written as Quantum ESPRESSO input:
```
&SYSTEM
  ibrav = 0, nat = 7, ntyp = 3
/
ATOMIC_SPECIES
Hg 200.59 Hg.upf
Pm 145.00 Pm.upf
Pb 207.20 Pb.upf
CELL_PARAMETERS angstrom
-2.3238 -4.6966 2.7625
5.1553 -2.8674 -0.5383
0.5575 6.2351 4.7185
ATOMIC_POSITIONS crystal
Hg 0.3658 0.3658 0.7317
Pm 0.2500 0.7500 0.5000
Hg 0.6342 0.6342 0.2683
Pm 0.7500 0.2500 0.5000
Pb 0.0000 0.0000 0.0000
Pm 0.0000 0.5000 0.0000
Pm 0.5000 0.0000 0.0000
```


4.
A geometry-optimized PmEuTh structure, computed with PBE. Values from VASP.

Values from the calculation:
Magnetization in μB/f.u.: 7.813
N(E_F) in states/eV per atom: 1.25
V in Å³ per cell: 105.89
Energy relative to the elements in eV per atom: 0.0868
Space group: I4mm
Total DFT energy (no corrections) in eV per atom: -7.39
Distance to the lowest polymorph of the same formula in eV per formula unit: 0.022

Cell and atoms, written as Quantum ESPRESSO input:
```
&SYSTEM
  ibrav = 0, nat = 3, ntyp = 3
/
ATOMIC_SPECIES
Eu 151.96 Eu.upf
Pm 145.00 Pm.upf
Th 232.04 Th.upf
CELL_PARAMETERS angstrom
3.6489 0.0000 0.0000
0.0000 3.6489 0.0000
-1.8244 -1.8244 7.9530
ATOMIC_POSITIONS crystal
Eu 0.9945 0.9945 0.9890
Pm 0.6776 0.6776 0.3551
Th 0.3279 0.3279 0.6558
```


5.
A geometry-optimized LaIr5 structure, computed with PBE. Values from VASP.

Values from the calculation:
Magnetization in μB/f.u.: 0.000
N(E_F) in states/eV per atom: 1.13
V in Å³ per cell: 99.17
Energy relative to the elements in eV per atom: 0.0770
Space group: P4/mmm
Total DFT energy (no corrections) in eV per atom: -8.13

Cell and atoms, written as Quantum ESPRESSO input:
```
&SYSTEM
  ibrav = 0, nat = 6, ntyp = 2
/
ATOMIC_SPECIES
La 138.91 La.upf
Ir 192.22 Ir.upf
CELL_PARAMETERS angstrom
-2.6072 0.6683 -0.8270
-0.1892 -2.4467 -1.3805
-4.6485 -5.4320 10.2644
ATOMIC_POSITIONS crystal
La 0.5000 0.5000 0.5000
Ir 0.0000 0.0000 0.0000
Ir 0.0000 0.0000 0.7018
Ir 0.5000 0.5000 0.8467
Ir 0.5000 0.5000 0.1533
Ir 0.0000 0.0000 0.2982
```